The following is a GGA-PBEsol calculation of an optimized crystal structure of SrCu4Ag, from Alexandria.

The structure in CIF format:
```
data_SrCu4Ag
_cell_length_a 7.1907
_cell_length_b 7.1907
_cell_length_c 7.1907
_cell_angle_alpha 90.00
_cell_angle_beta 90.00
_cell_angle_gamma 90.00
_symmetry_space_group_name_H-M 'F -4 3 m'
_symmetry_Int_Tables_number 216
_symmetry_space_group_name_Hall 'F -4 2 3'
loop_
_atom_site_label
_atom_site_type_symbol
_atom_site_fract_x
_atom_site_fract_y
_atom_site_fract_z
_atom_site_occupancy
Sr1 Sr 0.0000 0.0000 0.0000 1
Cu1 Cu 0.1235 0.1235 0.6235 1
Ag1 Ag 0.2500 0.2500 0.2500 1
```

Values from the calculation:
size of the total moment = 0.001 μB per formula unit
DFT total energy = -3.752 eV/atom
calculated formation energy = -4 meV per atom
crystal system = cubic

***

The following is a GGA-PBEsol calculation of an optimized crystal structure of SrZrCuAg2, from Alexandria.

The structure in CIF format:
```
data_SrZrCuAg2
_cell_length_a 4.9471
_cell_length_b 4.9471
_cell_length_c 4.7419
_cell_angle_alpha 90.00
_cell_angle_beta 90.00
_cell_angle_gamma 90.00
_symmetry_space_group_name_H-M 'P 4/m m m'
_symmetry_Int_Tables_number 123
_symmetry_space_group_name_Hall '-P 4 2'
loop_
_atom_site_label
_atom_site_type_symbol
_atom_site_fract_x
_atom_site_fract_y
_atom_site_fract_z
_atom_site_occupancy
Sr1 Sr 0.0000 0.0000 0.0000 1
Zr1 Zr 0.5000 0.5000 0.0000 1
Cu1 Cu 0.5000 0.5000 0.5000 1
Ag1 Ag 0.0000 0.5000 0.5000 1
```

Values from the calculation:
size of the total moment = 0.812 μB per formula unit
DFT total energy = -4.029 eV/atom
calculated formation energy = 348 meV per atom
crystal system = tetragonal

***

The following is a GGA-PBEsol calculation of an optimized crystal structure of TaCu2Ag, from Alexandria.

The structure in CIF format:
```
data_TaCu2Ag
_cell_length_a 2.7555
_cell_length_b 2.7555
_cell_length_c 7.5486
_cell_angle_alpha 90.00
_cell_angle_beta 90.00
_cell_angle_gamma 90.00
_symmetry_space_group_name_H-M 'P 4/m m m'
_symmetry_Int_Tables_number 123
_symmetry_space_group_name_Hall '-P 4 2'
loop_
_atom_site_label
_atom_site_type_symbol
_atom_site_fract_x
_atom_site_fract_y
_atom_site_fract_z
_atom_site_occupancy
Ta1 Ta 0.0000 0.0000 0.0000 1
Cu1 Cu 0.5000 0.5000 0.2522 1
Ag1 Ag 0.0000 0.0000 0.5000 1
```

Values from the calculation:
size of the total moment = 0.000 μB per formula unit
DFT total energy = -6.009 eV/atom
calculated formation energy = 124 meV per atom
crystal system = tetragonal

***

The following is a GGA-PBEsol calculation of an optimized crystal structure of TbCu4Ag, from Alexandria.

The structure in CIF format:
```
data_TbCu4Ag
_cell_length_a 7.0231
_cell_length_b 7.0231
_cell_length_c 7.0231
_cell_angle_alpha 90.00
_cell_angle_beta 90.00
_cell_angle_gamma 90.00
_symmetry_space_group_name_H-M 'F -4 3 m'
_symmetry_Int_Tables_number 216
_symmetry_space_group_name_Hall 'F -4 2 3'
loop_
_atom_site_label
_atom_site_type_symbol
_atom_site_fract_x
_atom_site_fract_y
_atom_site_fract_z
_atom_site_occupancy
Tb1 Tb 0.0000 0.0000 0.0000 1
Cu1 Cu 0.1240 0.1240 0.3760 1
Ag1 Ag 0.2500 0.2500 0.7500 1
```

Values from the calculation:
size of the total moment = 0.000 μB per formula unit
DFT total energy = -4.520 eV/atom
calculated formation energy = -243 meV per atom
crystal system = cubic

***

The following is a GGA-PBEsol calculation of an optimized crystal structure of CuTcAg2, from Alexandria.

The structure in CIF format:
```
data_CuTcAg2
_cell_length_a 9.3237
_cell_length_b 2.6164
_cell_length_c 4.8650
_cell_angle_alpha 90.00
_cell_angle_beta 98.85
_cell_angle_gamma 90.00
_symmetry_space_group_name_H-M 'C 1 2/m 1'
_symmetry_Int_Tables_number 12
_symmetry_space_group_name_Hall '-C 2y'
loop_
_atom_site_label
_atom_site_type_symbol
_atom_site_fract_x
_atom_site_fract_y
_atom_site_fract_z
_atom_site_occupancy
Cu1 Cu 0.0000 0.0000 0.0000 1
Tc1 Tc 0.0000 0.5000 0.5000 1
Ag1 Ag 0.2474 0.5000 0.2469 1
```

Values from the calculation:
size of the total moment = 0.683 μB per formula unit
ΔE to the lowest computed polymorph = 0.02 eV/f.u.
DFT total energy = -5.101 eV/atom
calculated formation energy = 455 meV per atom
crystal system = monoclinic

***

The following is a GGA-PBEsol calculation of an optimized crystal structure of Cu2TcAg, from Alexandria.

The structure in CIF format:
```
data_Cu2TcAg
_cell_length_a 2.5693
_cell_length_b 3.7107
_cell_length_c 5.6257
_cell_angle_alpha 90.00
_cell_angle_beta 90.00
_cell_angle_gamma 90.00
_symmetry_space_group_name_H-M 'P m m m'
_symmetry_Int_Tables_number 47
_symmetry_space_group_name_Hall '-P 2 2'
loop_
_atom_site_label
_atom_site_type_symbol
_atom_site_fract_x
_atom_site_fract_y
_atom_site_fract_z
_atom_site_occupancy
Cu1 Cu 0.0000 0.0000 0.2320 1
Tc1 Tc 0.5000 0.5000 0.0000 1
Ag1 Ag 0.5000 0.5000 0.5000 1
```

Values from the calculation:
size of the total moment = 0.001 μB per formula unit
ΔE to the lowest computed polymorph = 0.00 eV/f.u.
DFT total energy = -5.490 eV/atom
calculated formation energy = 321 meV per atom
crystal system = orthorhombic

***

The following is a GGA-PBEsol calculation of an optimized crystal structure of CuTcAg2, from Alexandria.

The structure in CIF format:
```
data_CuTcAg2
_cell_length_a 3.9080
_cell_length_b 3.9080
_cell_length_c 7.7961
_cell_angle_alpha 90.00
_cell_angle_beta 90.00
_cell_angle_gamma 90.00
_symmetry_space_group_name_H-M 'I 4/m m m'
_symmetry_Int_Tables_number 139
_symmetry_space_group_name_Hall '-I 4 2'
loop_
_atom_site_label
_atom_site_type_symbol
_atom_site_fract_x
_atom_site_fract_y
_atom_site_fract_z
_atom_site_occupancy
Cu1 Cu 0.0000 0.0000 0.0000 1
Tc1 Tc 0.0000 0.0000 0.5000 1
Ag1 Ag 0.0000 0.5000 0.2500 1
```

Values from the calculation:
size of the total moment = 1.884 μB per formula unit
ΔE to the lowest computed polymorph = 0.71 eV/f.u.
DFT total energy = -4.930 eV/atom
calculated formation energy = 626 meV per atom
crystal system = tetragonal

***

The following is a GGA-PBEsol calculation of an optimized crystal structure of Cu2TcAg, from Alexandria.

The structure in CIF format:
```
data_Cu2TcAg
_cell_length_a 2.5534
_cell_length_b 3.8665
_cell_length_c 5.4273
_cell_angle_alpha 90.00
_cell_angle_beta 90.00
_cell_angle_gamma 90.00
_symmetry_space_group_name_H-M 'P m m 2'
_symmetry_Int_Tables_number 25
_symmetry_space_group_name_Hall 'P 2 -2'
loop_
_atom_site_label
_atom_site_type_symbol
_atom_site_fract_x
_atom_site_fract_y
_atom_site_fract_z
_atom_site_occupancy
Cu1 Cu 0.0000 0.0000 0.0000 1
Cu2 Cu 0.5000 0.5000 0.2452 1
Tc1 Tc 0.0000 0.0000 0.4701 1
Ag1 Ag 0.5000 0.5000 0.7546 1
```

Values from the calculation:
size of the total moment = 0.002 μB per formula unit
ΔE to the lowest computed polymorph = 0.25 eV/f.u.
DFT total energy = -5.429 eV/atom
calculated formation energy = 383 meV per atom
crystal system = orthorhombic